First-principles (PBE) data for a geometry-optimized ErPu2HfS4 structure, as listed in the Alexandria database.

Computed properties:
Magnetization, μB per atom: 0.009
Space group: P2/m
Uncorrected formation energy, meV per atom: -1694

a b c (Å): 3.8360 6.7375 6.5797
angles (deg): 109.44 90.00 90.00
With the nearest neighbours (Å) after each atom.
Sites, in units of the cell vectors:
Hf1 0.0000 0.0000 0.0000  6 S 2.63-2.64
Pu1 0.0000 0.5000 0.5000  6 S 2.79-2.80
Er1 0.5000 0.5000 0.0000  6 S 2.70
S1 0.5000 0.2380 0.2338  2 Hf 2.64, 1 Er 2.70, 3 Pu 2.74-2.79
S2 0.0000 0.2458 0.7618  1 Hf 2.63, 2 Er 2.70, 3 Pu 2.74-2.80
S3 0.5000 0.7620 0.7662  2 Hf 2.64, 1 Er 2.70, 3 Pu 2.74-2.79
Pu2 0.5000 0.0000 0.5000  6 S 2.74
S4 0.0000 0.7542 0.2382  1 Hf 2.63, 2 Er 2.70, 3 Pu 2.74-2.80